Compound: CdRuW2
Source: Alexandria
Functional: GGA-PBE
Structure: relaxed

abc: 4.0645 4.0645 7.9027
angles: 90.00 90.00 90.00
Last column: nearest neighbours and their distance in Å.
Space group I-4m2 (No. 119)
Inequivalent atoms, fractional coordinates:
Cd 0.0000 0.0000 0.0000 [2 per cell]  8 W 2.83-2.87, 4 Ru 2.83
Ru 0.0000 0.5000 0.7500 [2 per cell]  4 Cd 2.83, 8 W 2.83-2.87
W 0.0000 0.0000 0.5000 [2 per cell]  4 W 2.83, 4 Ru 2.83, 4 Cd 2.87
W 0.0000 0.5000 0.2500 [2 per cell]  4 Cd 2.83, 4 W 2.83, 4 Ru 2.87

Results
The density of states at the Fermi level comes out at 5.380 states/eV/f.u. As for the volume: 16.32 Å³/atom. The calculated formation energy comes out at 558 meV/atom.